The following is a PBE-GGA calculation of an optimized crystal structure of Ca2IrCl8, from Alexandria. Values from VASP.

Output
**Crystal system**: monoclinic
**Calculated volume**: 307.4 Å³/cell
**Magnetic moment**: 0.097 μB/atom
**Space group**: No. 12
**Formation energy (no corrections)**: -1.41 eV/atom

```
&SYSTEM
  ibrav = 0, nat = 11, ntyp = 3
/
ATOMIC_SPECIES
Cl 35.45 Cl.upf
Ir 192.22 Ir.upf
Ca 40.08 Ca.upf
ATOMIC_POSITIONS angstrom
Cl 0.431 -7.252 -0.091
Cl -0.228 -5.164 -2.906
Cl 2.957 -6.373 -1.851
Cl -3.573 -2.078 -3.360
Cl -3.802 -7.094 -3.281
Cl -2.915 -4.166 -0.546
Cl -6.099 -2.957 -1.600
Cl 0.659 -2.235 -0.170
Ir 0.000 0.000 0.000
Ca -0.812 -2.656 -2.493
Ca -2.330 -6.674 -0.959
CELL_PARAMETERS angstrom
-4.961 -1.726 3.456
-3.317 -1.827 -5.674
5.135 -5.776 -1.233
```

---

The following is a PBE-GGA calculation of an optimized crystal structure of Tb5Se5N, from Alexandria. Values from VASP.

Output
**Crystal system**: monoclinic
**Calculated volume**: 267.6 Å³/cell
**Magnetic moment**: 0.000 μB/atom
**Space group**: No. 12
**Formation energy (no corrections)**: -1.75 eV/atom

```
&SYSTEM
  ibrav = 0, nat = 11, ntyp = 3
/
ATOMIC_SPECIES
Tb 158.93 Tb.upf
Se 78.96 Se.upf
N 14.01 N.upf
ATOMIC_POSITIONS angstrom
Tb -4.274 -4.561 1.781
Tb -4.596 -1.119 4.243
Tb -1.659 -1.020 -2.066
Tb -0.822 -4.935 -0.806
Tb -1.144 -1.493 1.656
Se -3.151 0.341 2.362
Se 0.599 -3.733 1.361
Se -2.880 -2.788 -0.213
Se -6.017 -2.321 2.076
Se -2.538 -3.266 3.650
N 0.000 0.000 0.000
CELL_PARAMETERS angstrom
-3.319 -2.039 -4.132
4.202 -4.698 2.845
-6.302 0.683 4.724
```

---

The following is a PBE-GGA calculation of an optimized crystal structure of Ca2NbCdGe, from Alexandria. Values from VASP.

Output
**Crystal system**: tetragonal
**Calculated volume**: 160.5 Å³/cell
**Formation energy**: 0.658 eV/atom
**Magnetic moment**: 0.905 μB/atom
**Space group**: No. 123

```
&SYSTEM
  ibrav = 0, nat = 5, ntyp = 4
/
ATOMIC_SPECIES
Cd 112.41 Cd.upf
Nb 92.91 Nb.upf
Ca 40.08 Ca.upf
Ge 72.64 Ge.upf
ATOMIC_POSITIONS angstrom
Cd 0.000 2.500 0.000
Nb 2.832 2.500 2.832
Ca 0.000 0.000 2.832
Ca 2.832 0.000 0.000
Ge 0.000 0.000 0.000
CELL_PARAMETERS angstrom
5.665 0.000 0.000
0.000 5.001 0.000
0.000 0.000 5.665
```